1.
This record from Alexandria describes AlBC2 after structural relaxation. The functional is PBE.

Structure (CIF):
```
data_AlBC2
_space_group_name_H-M_alt 'I -4 2 d'
_space_group_IT_number 122
_space_group_name_Hall 'I -4 2bw'
_cell_length_a 3.918
_cell_length_b 3.918
_cell_length_c 9.377
_cell_angle_alpha 90.00
_cell_angle_beta 90.00
_cell_angle_gamma 90.00
loop_
_atom_site_label
_atom_site_fract_x
_atom_site_fract_y
_atom_site_fract_z
Al1 0.000 0.000 0.000
B1 0.000 0.000 0.500
C1 0.156 0.250 0.625
```

Results
calculated density: 2.85 g/cm³
energy relative to the elements: 0.5574 eV per atom
final energy: -0.4895 Ry per atom
density of states at the Fermi level: 3.5 states/eV/cell
offset from the most stable computed form: 0 meV/atom

2.
This record from Alexandria describes AlB3C after structural relaxation. The functional is PBE.

Structure (CIF):
```
data_AlB3C
_space_group_name_H-M_alt 'P m -3 m'
_space_group_IT_number 221
_space_group_name_Hall '-P 4 2 3'
_cell_length_a 4.120
_cell_length_b 4.120
_cell_length_c 4.120
_cell_angle_alpha 90.00
_cell_angle_beta 90.00
_cell_angle_gamma 90.00
loop_
_atom_site_label
_atom_site_fract_x
_atom_site_fract_y
_atom_site_fract_z
Al1 0.000 0.000 0.000
B1 0.000 0.000 0.500
C1 0.500 0.500 0.500
```

Results
calculated density: 1.70 g/cm³
energy relative to the elements: 3.0565 eV per atom
final energy: -0.2604 Ry per atom
density of states at the Fermi level: 3.7 states/eV/cell
offset from the most stable computed form: 1384 meV/atom

3.
This record from Alexandria describes Al3BC3 after structural relaxation. The functional is PBE.

Structure (CIF):
```
data_Al3BC3
_space_group_name_H-M_alt 'P 63 c m'
_space_group_IT_number 185
_space_group_name_Hall 'P 6c -2'
_cell_length_a 5.9311
_cell_length_b 5.9311
_cell_length_c 15.9502
_cell_angle_alpha 90.00
_cell_angle_beta 90.00
_cell_angle_gamma 120.00
loop_
_atom_site_label
_atom_site_fract_x
_atom_site_fract_y
_atom_site_fract_z
Al1 0.0000 0.0000 0.1440
Al2 0.0000 0.3202 0.0000
Al3 0.0000 0.3474 0.2550
Al4 0.3333 0.6667 0.1159
B1 0.0000 0.0000 0.3677
B2 0.3333 0.6667 0.3834
C1 0.0000 0.0000 0.2780
C2 0.0000 0.0000 0.4584
C3 0.0000 0.3331 0.1274
C4 0.3333 0.6667 0.2930
C5 0.3333 0.6667 0.4739
```

Results
calculated density: 2.62 g/cm³
energy relative to the elements: -0.0973 eV per atom
final energy: -0.4857 Ry per atom
density of states at the Fermi level: 0.0 states/eV/cell
offset from the most stable computed form: 0 meV/atom